A plane-wave DFT calculation with GGA-PBE was carried out for crystalline Nd2Sn2IrPd3 at its relaxed geometry.

Values from the calculation:
E = -48.03 eV per cell
Total moment = 0.0 μB per formula unit
Theoretical density = 10.065 Mg/m³

abc: 4.6125 4.6125 9.2888
angles: 90.00 90.00 120.00
With the nearest neighbours (Å) after each atom.
Space group P3m1 (No. 156)
Asymmetric unit:
Nd 0.0000 0.0000 0.0000  1 Ir 3.01, 7 Pd 3.05-3.10
Nd 0.3333 0.6667 0.4920  5 Pd 3.08-3.15, 3 Ir 3.09, 3 Sn 3.42
Sn 0.6667 0.3333 0.2617  3 Ir 2.72, 3 Pd 2.82
Sn 0.6667 0.3333 0.7499  6 Pd 2.77
Ir 0.0000 0.0000 0.3238  3 Sn 2.72, 1 Nd 3.01
Pd 0.0000 0.0000 0.6666  3 Sn 2.77, 3 Pd 3.07, 1 Nd 3.10
Pd 0.3333 0.6667 0.1606  3 Sn 2.82, 4 Nd 3.05-3.08, 3 Ir 3.06, 1 Pd 3.06
Pd 0.3333 0.6667 0.8307  3 Sn 2.77, 4 Pd 3.06-3.07, 3 Nd 3.09